A relaxed Er5ZnGa2 crystal. Source: Alexandria via LeMat-Bulk, functional PBE.

Lattice parameters (Å, degrees): 7.452 7.452 8.963 114.56 114.56 90.00
Atoms (fractional coordinates):
Er 0.524 0.681 0.705
Er 0.819 0.976 0.295
Er 0.000 0.000 0.000
Er 0.500 0.500 0.000
Er 0.181 0.024 0.705
Er 0.681 0.181 0.705
Er 0.024 0.524 0.705
Er 0.319 0.819 0.295
Er 0.976 0.476 0.295
Er 0.476 0.319 0.295
Zn 0.750 0.750 0.500
Zn 0.250 0.250 0.500
Ga 0.122 0.378 0.000
Ga 0.622 0.122 0.000
Ga 0.378 0.878 0.000
Ga 0.878 0.622 0.000

Computed properties:
energy above the most stable polymorph in this dataset = 0 meV/atom
ΔE_f = -9.1 kcal/mol of atoms
raw total energy = -4.1630 eV/atom


A relaxed Er2Zn2Ga crystal. Source: Alexandria via LeMat-Bulk, functional PBE.

Lattice parameters (Å, degrees): 4.339 5.674 9.531 87.72 76.84 67.52
Atoms (fractional coordinates):
Er 0.683 0.298 0.335
Er 0.912 0.278 0.898
Er 0.317 0.702 0.665
Er 0.088 0.722 0.102
Zn 0.080 0.281 0.560
Zn 0.636 0.844 0.885
Zn 0.920 0.719 0.440
Zn 0.364 0.156 0.115
Ga 0.611 0.115 0.662
Ga 0.389 0.885 0.338

Computed properties:
ΔE_f = -10.2 kcal/mol of atoms
raw total energy = -3.3819 eV/atom


A relaxed Er4Zn3Ga crystal. Source: Alexandria via LeMat-Bulk, functional PBE.

Lattice parameters (Å, degrees): 5.000 5.000 8.674 73.25 73.25 60.00
Atoms (fractional coordinates):
Zn 0.248 0.248 0.256
Zn 0.752 0.752 0.744
Zn 0.500 0.500 0.500
Ga 0.000 0.000 0.000
Er 0.875 0.875 0.375
Er 0.375 0.375 0.874
Er 0.125 0.125 0.625
Er 0.625 0.625 0.126

Computed properties:
energy above the most stable polymorph in this dataset = 0 meV/atom
ΔE_f = -9.5 kcal/mol of atoms
raw total energy = -3.5515 eV/atom


A relaxed ErZnGa2 crystal. Source: Alexandria via LeMat-Bulk, functional PBE.

Lattice parameters (Å, degrees): 4.188 4.232 4.232 90.00 90.00 90.00
Atoms (fractional coordinates):
Zn 0.500 0.000 0.000
Ga 0.000 0.000 0.500
Ga 0.000 0.500 0.000
Er 0.500 0.500 0.500

Computed properties:
ΔE_f = -10.5 kcal/mol of atoms
raw total energy = -3.4272 eV/atom


A relaxed ErZn3Ga3 crystal. Source: Alexandria via LeMat-Bulk, functional PBE.

Lattice parameters (Å, degrees): 8.363 8.363 8.363 60.00 60.00 60.00
Atoms (fractional coordinates):
Er 0.250 0.250 0.250
Er 0.750 0.750 0.750
Zn 0.151 0.849 0.849
Zn 0.151 0.849 0.151
Zn 0.151 0.151 0.849
Zn 0.849 0.151 0.849
Zn 0.849 0.151 0.151
Zn 0.849 0.849 0.151
Ga 0.344 0.656 0.344
Ga 0.344 0.656 0.656
Ga 0.344 0.344 0.656
Ga 0.656 0.344 0.656
Ga 0.656 0.344 0.344
Ga 0.656 0.656 0.344

Computed properties:
energy above the most stable polymorph in this dataset = 321 meV/atom
ΔE_f = 13.3 kcal/mol of atoms
raw total energy = -1.9175 eV/atom


A relaxed ErZn5Ga2 crystal. Source: Alexandria via LeMat-Bulk, functional PBE.

Lattice parameters (Å, degrees): 3.956 6.371 6.371 69.02 71.91 71.91
Atoms (fractional coordinates):
Er 0.000 0.000 0.000
Zn 0.000 0.500 0.500
Zn 0.635 0.549 0.180
Zn 0.365 0.451 0.820
Zn 0.365 0.820 0.451
Zn 0.635 0.180 0.549
Ga 0.739 0.761 0.761
Ga 0.261 0.239 0.239

Computed properties:
ΔE_f = -4.7 kcal/mol of atoms
raw total energy = -2.3250 eV/atom


A relaxed ErZn2Ga crystal. Source: Alexandria via LeMat-Bulk, functional PBE.

Lattice parameters (Å, degrees): 4.377 4.152 4.152 90.00 90.00 90.00
Atoms (fractional coordinates):
Zn 0.000 0.000 0.500
Zn 0.000 0.500 0.000
Ga 0.500 0.000 0.000
Er 0.500 0.500 0.500

Computed properties:
ΔE_f = -7.9 kcal/mol of atoms
raw total energy = -2.8778 eV/atom


A relaxed Er3ZnGa12 crystal. Source: Alexandria via LeMat-Bulk, functional PBE.

Lattice parameters (Å, degrees): 4.234 4.234 16.819 90.00 90.00 90.00
Atoms (fractional coordinates):
Er 0.000 0.000 0.245
Er 0.000 0.000 0.500
Er 0.000 0.000 0.755
Zn 0.000 0.000 0.000
Ga 0.500 0.500 0.000
Ga 0.500 0.500 0.254
Ga 0.500 0.500 0.500
Ga 0.500 0.500 0.746
Ga 0.500 0.000 0.113
Ga 0.500 0.000 0.372
Ga 0.500 0.000 0.628
Ga 0.500 0.000 0.887
Ga 0.000 0.500 0.113
Ga 0.000 0.500 0.372
Ga 0.000 0.500 0.628
Ga 0.000 0.500 0.887

Computed properties:
ΔE_f = -8.5 kcal/mol of atoms
raw total energy = -3.5732 eV/atom


A relaxed Er6ZnGa2 crystal. Source: Alexandria via LeMat-Bulk, functional PBE.

Lattice parameters (Å, degrees): 4.897 6.945 8.512 114.08 106.74 90.00
Atoms (fractional coordinates):
Er 0.166 0.414 0.332
Er 0.834 0.082 0.668
Er 0.834 0.586 0.668
Er 0.500 0.247 0.000
Er 0.166 0.918 0.332
Er 0.500 0.753 0.000
Zn 0.000 0.000 0.000
Ga 0.667 0.667 0.334
Ga 0.333 0.333 0.666

Computed properties:
energy above the most stable polymorph in this dataset = 202 meV/atom
ΔE_f = -3.6 kcal/mol of atoms
raw total energy = -4.0121 eV/atom


A relaxed Er3ZnGa crystal. Source: Alexandria via LeMat-Bulk, functional PBE.

Lattice parameters (Å, degrees): 4.971 4.968 10.099 90.00 75.75 90.00
Atoms (fractional coordinates):
Er 0.757 0.250 0.134
Er 0.392 0.250 0.864
Er 0.575 0.250 0.499
Er 0.256 0.750 0.136
Er 0.891 0.750 0.866
Er 0.074 0.750 0.501
Zn 0.666 0.750 0.317
Zn 0.983 0.250 0.683
Ga 0.485 0.750 0.679
Ga 0.164 0.250 0.321

Computed properties:
energy above the most stable polymorph in this dataset = 0 meV/atom
ΔE_f = -8.7 kcal/mol of atoms
raw total energy = -3.9755 eV/atom


A relaxed ErZn2Ga crystal. Source: Alexandria via LeMat-Bulk, functional PBE.

Lattice parameters (Å, degrees): 4.719 4.719 4.719 60.00 60.00 60.00
Atoms (fractional coordinates):
Zn 0.250 0.250 0.250
Zn 0.750 0.750 0.750
Ga 0.500 0.500 0.500
Er 0.000 0.000 0.000

Computed properties:
ΔE_f = -6.1 kcal/mol of atoms
raw total energy = -2.7974 eV/atom


A relaxed Er4ZnGa2 crystal. Source: Alexandria via LeMat-Bulk, functional PBE.

Lattice parameters (Å, degrees): 6.082 6.082 6.082 108.45 109.98 109.98
Atoms (fractional coordinates):
Er 0.500 0.000 0.000
Er 0.500 0.500 0.500
Er 0.000 0.000 0.500
Er 0.000 0.500 0.000
Zn 0.000 0.000 0.000
Ga 0.500 0.500 0.000
Ga 0.500 0.000 0.500

Computed properties:
energy above the most stable polymorph in this dataset = 0 meV/atom
ΔE_f = -9.0 kcal/mol of atoms
raw total energy = -4.0443 eV/atom


A relaxed ErZn2Ga4 crystal. Source: Alexandria via LeMat-Bulk, functional PBE.

Lattice parameters (Å, degrees): 4.071 4.071 10.361 78.67 78.67 60.00
Atoms (fractional coordinates):
Er 0.000 0.000 0.000
Zn 0.813 0.813 0.560
Zn 0.187 0.187 0.440
Ga 0.728 0.728 0.815
Ga 0.899 0.899 0.303
Ga 0.272 0.272 0.185
Ga 0.101 0.101 0.697

Computed properties:
energy above the most stable polymorph in this dataset = 37 meV/atom
ΔE_f = -4.4 kcal/mol of atoms
raw total energy = -2.9369 eV/atom


A relaxed ErZn2Ga crystal. Source: Alexandria via LeMat-Bulk, functional PBE.

Lattice parameters (Å, degrees): 4.183 8.920 8.300 90.00 104.59 90.00
Atoms (fractional coordinates):
Er 0.500 0.500 0.000
Er 0.500 0.000 0.000
Er 0.301 0.750 0.602
Er 0.699 0.250 0.398
Zn 0.897 0.250 0.794
Zn 0.952 0.750 0.903
Zn 0.103 0.750 0.206
Zn 0.048 0.250 0.097
Zn 0.691 0.606 0.383
Zn 0.309 0.394 0.617
Zn 0.309 0.106 0.617
Zn 0.691 0.894 0.383
Ga 0.144 0.472 0.288
Ga 0.856 0.972 0.712
Ga 0.144 0.028 0.288
Ga 0.856 0.528 0.712

Computed properties:
ΔE_f = -9.7 kcal/mol of atoms
raw total energy = -2.9562 eV/atom


A relaxed Er4Zn3Ga crystal. Source: Alexandria via LeMat-Bulk, functional PBE.

Lattice parameters (Å, degrees): 3.675 4.434 11.182 90.00 90.00 90.00
Atoms (fractional coordinates):
Er 0.500 0.500 0.351
Er 0.000 0.500 0.846
Er 0.000 0.000 0.152
Er 0.500 0.000 0.650
Zn 0.000 0.500 0.571
Zn 0.000 0.000 0.429
Zn 0.500 0.000 0.928
Ga 0.500 0.500 0.073

Computed properties:
energy above the most stable polymorph in this dataset = 38 meV/atom
ΔE_f = -8.7 kcal/mol of atoms
raw total energy = -3.5138 eV/atom


A relaxed ErZn5Ga crystal. Source: Alexandria via LeMat-Bulk, functional PBE.

Lattice parameters (Å, degrees): 5.263 8.670 10.421 90.00 90.00 90.00
Atoms (fractional coordinates):
Er 0.250 0.243 0.937
Er 0.750 0.257 0.437
Er 0.250 0.743 0.563
Er 0.750 0.757 0.063
Zn 0.250 0.585 0.022
Zn 0.750 0.915 0.522
Zn 0.250 0.085 0.478
Zn 0.750 0.415 0.978
Zn 0.750 0.306 0.749
Zn 0.250 0.194 0.249
Zn 0.750 0.806 0.751
Zn 0.250 0.694 0.251
Zn 0.250 0.947 0.091
Zn 0.750 0.553 0.591
Zn 0.250 0.447 0.409
Zn 0.750 0.053 0.909
Zn 0.990 0.430 0.192
Zn 0.010 0.070 0.692
Zn 0.510 0.930 0.308
Zn 0.490 0.570 0.808
Zn 0.010 0.570 0.808
Zn 0.990 0.930 0.308
Zn 0.490 0.070 0.692
Zn 0.510 0.430 0.192
Ga 0.250 0.867 0.853
Ga 0.750 0.633 0.353
Ga 0.250 0.367 0.647
Ga 0.750 0.133 0.147

Computed properties:
ΔE_f = -4.8 kcal/mol of atoms
raw total energy = -2.2013 eV/atom


A relaxed Er3Zn7Ga2 crystal. Source: Alexandria via LeMat-Bulk, functional PBE.

Lattice parameters (Å, degrees): 5.446 5.446 9.111 72.61 72.61 60.00
Atoms (fractional coordinates):
Er 0.000 0.000 0.000
Er 0.858 0.858 0.425
Er 0.142 0.142 0.575
Zn 0.500 0.500 0.500
Zn 0.923 0.412 0.253
Zn 0.412 0.923 0.253
Zn 0.412 0.412 0.253
Zn 0.077 0.588 0.747
Zn 0.588 0.588 0.747
Zn 0.588 0.077 0.747
Ga 0.665 0.665 0.005
Ga 0.335 0.335 0.995

Computed properties:
ΔE_f = -7.4 kcal/mol of atoms
raw total energy = -2.7114 eV/atom


A relaxed Er4ZnGa2 crystal. Source: Alexandria via LeMat-Bulk, functional PBE.

Lattice parameters (Å, degrees): 3.506 6.947 8.246 115.18 102.28 90.00
Atoms (fractional coordinates):
Er 0.906 0.265 0.812
Er 0.094 0.735 0.188
Er 0.632 0.340 0.265
Er 0.368 0.660 0.735
Zn 0.000 0.000 0.000
Ga 0.754 0.818 0.508
Ga 0.246 0.182 0.492

Computed properties:
energy above the most stable polymorph in this dataset = 122 meV/atom
ΔE_f = -6.2 kcal/mol of atoms
raw total energy = -3.9227 eV/atom


A relaxed Er3Zn7Ga4 crystal. Source: Alexandria via LeMat-Bulk, functional PBE.

Lattice parameters (Å, degrees): 4.256 8.094 8.124 71.03 74.81 74.76
Atoms (fractional coordinates):
Er 0.298 0.201 0.203
Er 0.702 0.799 0.797
Er 0.000 0.500 0.500
Zn 0.346 0.791 0.517
Zn 0.498 0.187 0.817
Zn 0.855 0.365 0.925
Zn 0.654 0.209 0.483
Zn 0.145 0.635 0.075
Zn 0.000 0.000 0.000
Zn 0.502 0.813 0.183
Ga 0.653 0.475 0.218
Ga 0.347 0.525 0.782
Ga 0.858 0.924 0.360
Ga 0.142 0.076 0.640

Computed properties:
ΔE_f = -9.6 kcal/mol of atoms
raw total energy = -2.8976 eV/atom


A relaxed Er6ZnGa crystal. Source: Alexandria via LeMat-Bulk, functional PBE.

Lattice parameters (Å, degrees): 9.378 9.378 9.378 149.39 149.39 43.84
Atoms (fractional coordinates):
Er 0.250 0.250 0.000
Er 0.896 0.396 0.500
Er 0.396 0.896 0.500
Er 0.104 0.604 0.500
Er 0.750 0.750 0.000
Er 0.604 0.104 0.500
Zn 0.000 0.000 0.000
Ga 0.500 0.500 0.000

Computed properties:
ΔE_f = -5.2 kcal/mol of atoms
raw total energy = -4.1832 eV/atom